[1]
Entry from OQMD: a relaxed structure of FeNiB2 (GGA-PBE).

Computed properties:
**DFT total energy**: -0.262 hartree per atom
**Size of the total moment**: 2.3 μB per cell
**E above lowest polymorph**: 0 meV/atom

Cell lengths 2.992, 2.921, 7.342 Å; angles 90.00, 90.00, 90.00 degrees
Positions (direct):
Fe1 0.000 0.000 0.000
Fe2 0.000 0.500 0.500
Ni1 0.500 0.000 0.715
Ni2 0.500 0.500 0.215
B1 0.000 0.000 0.289
B2 0.000 0.500 0.789
B3 0.500 0.000 0.429
B4 0.500 0.500 0.929

[2]
Entry from OQMD: a relaxed structure of La2Zn4NiPt (GGA-PBE).

Computed properties:
**DFT total energy**: -0.143 hartree per atom
**Size of the total moment**: 0.0 μB per cell
**Formation energy**: -0.57 eV/atom

Cell lengths 7.656, 4.128, 9.959 Å; angles 90.00, 90.00, 90.00 degrees
Positions (direct):
La1 0.000 0.000 0.000
La2 0.000 0.500 0.500
La3 0.500 0.000 0.123
La4 0.500 0.500 0.623
Zn1 0.187 0.000 0.713
Zn2 0.187 0.500 0.213
Zn3 0.292 0.000 0.403
Zn4 0.292 0.500 0.903
Zn5 0.708 0.000 0.403
Zn6 0.708 0.500 0.903
Zn7 0.813 0.000 0.713
Zn8 0.813 0.500 0.213
Ni1 0.000 0.000 0.276
Ni2 0.000 0.500 0.776
Pt1 0.500 0.000 0.840
Pt2 0.500 0.500 0.340

[3]
Entry from OQMD: a relaxed structure of FeReNiAs (GGA-PBE).

Computed properties:
**DFT total energy**: -0.269 hartree per atom
**Size of the total moment**: 5.0 μB per cell
**E above lowest polymorph**: 244 meV/atom

Cell lengths 5.910, 5.910, 5.910 Å; angles 90.00, 90.00, 90.00 degrees
Positions (direct):
Fe1 0.000 0.000 0.000
Fe2 0.000 0.500 0.500
Fe3 0.500 0.000 0.500
Fe4 0.500 0.500 0.000
Re1 0.250 0.250 0.250
Re2 0.250 0.750 0.750
Re3 0.750 0.250 0.750
Re4 0.750 0.750 0.250
Ni1 0.000 0.000 0.500
Ni2 0.000 0.500 0.000
Ni3 0.500 0.000 0.000
Ni4 0.500 0.500 0.500
As1 0.250 0.250 0.750
As2 0.250 0.750 0.250
As3 0.750 0.250 0.250
As4 0.750 0.750 0.750

Which of these has the highest DFT total energy? La2Zn4NiPt

Among the records above, which one has the highest DFT total energy? La2Zn4NiPt

Copy entry 1 word for word.
Entry from OQMD: a relaxed structure of FeNiB2 (GGA-PBE).

Computed properties:
**DFT total energy**: -0.262 hartree per atom
**Size of the total moment**: 2.3 μB per cell
**E above lowest polymorph**: 0 meV/atom

Cell lengths 2.992, 2.921, 7.342 Å; angles 90.00, 90.00, 90.00 degrees
Positions (direct):
Fe1 0.000 0.000 0.000
Fe2 0.000 0.500 0.500
Ni1 0.500 0.000 0.715
Ni2 0.500 0.500 0.215
B1 0.000 0.000 0.289
B2 0.000 0.500 0.789
B3 0.500 0.000 0.429
B4 0.500 0.500 0.929

DFT total energy of number 1 (FeNiB2)? -0.262 hartree per atom